[1]
# Cs2SrReBi

Cs2SrReBi after structural relaxation (GGA-PBE, Alexandria).

a = 5.838 Å, b = 6.186 Å, c = 5.838 Å
α = 90.00°, β = 90.00°, γ = 90.00°
Site moments in Bohr magnetons follow the coordinates.
Sites, in units of the cell vectors:
Cs 0.500 0.000 0.000  0.02
Re 0.000 0.000 0.000  1.24
Cs 0.000 0.000 0.500  0.02
Sr 0.000 0.500 0.000  0.00
Bi 0.500 0.500 0.500  0.49

Size of the total moment   2.36 μB/f.u.
Space group   P4/mmm (123)
Calculated total energy   -14.11 eV per cell
Energy of formation from the pure elements   1122 meV/atom

[2]
# Cs2ReBiW

Cs2ReBiW after structural relaxation (GGA-PBE, Alexandria).

a = 6.363 Å, b = 5.409 Å, c = 6.363 Å
α = 90.00°, β = 90.00°, γ = 90.00°
Site moments in Bohr magnetons follow the coordinates.
Sites, in units of the cell vectors:
W 0.000 0.000 0.000  1.43
Bi 0.000 0.500 0.000  -0.08
Cs 0.000 0.000 0.500  0.03
Re 0.500 0.500 0.500  3.73
Cs 0.500 0.000 0.000  0.03

Size of the total moment   6.37 μB/f.u.
Space group   P4/mmm (123)
Calculated total energy   -19.61 eV per cell
Energy of formation from the pure elements   2275 meV/atom

[3]
# CsZnReBi

CsZnReBi after structural relaxation (GGA-PBE, Alexandria).

a = 4.448 Å, b = 4.448 Å, c = 22.219 Å
α = 90.00°, β = 90.00°, γ = 120.00°
Site moments in Bohr magnetons follow the coordinates.
Sites, in units of the cell vectors:
Bi 0.667 0.333 0.218  -0.02
Bi 0.000 0.000 0.885  -0.02
Re 0.000 0.000 0.600  0.54
Zn 0.000 0.000 0.296  -0.01
Zn 0.333 0.667 0.963  -0.01
Cs 0.000 0.000 0.082  0.00
Cs 0.333 0.667 0.748  0.00
Zn 0.667 0.333 0.630  -0.01
Cs 0.667 0.333 0.415  0.00
Re 0.667 0.333 0.933  0.54
Bi 0.333 0.667 0.552  -0.02
Re 0.333 0.667 0.267  0.54

Size of the total moment   0.59 μB/f.u.
Space group   R3m (160)
Calculated total energy   -47.35 eV per cell
Energy above the lowest structure with this stoichiometry   155 meV per atom
Energy of formation from the pure elements   668 meV/atom

[4]
# CsZnReBi

CsZnReBi after structural relaxation (GGA-PBE, Alexandria).

a = 5.036 Å, b = 4.757 Å, c = 12.844 Å
α = 90.00°, β = 90.00°, γ = 90.00°
Site moments in Bohr magnetons follow the coordinates.
Sites, in units of the cell vectors:
Cs 0.500 0.000 0.315  0.01
Re 0.000 0.000 0.610  1.30
Zn 0.500 0.500 0.103  -0.01
Cs 0.500 0.500 0.815  0.01
Zn 0.500 0.000 0.603  -0.01
Bi 0.000 0.000 0.021  -0.03
Re 0.000 0.500 0.110  1.30
Bi 0.000 0.500 0.521  -0.03

Size of the total moment   1.65 μB/f.u.
Space group   Amm2 (38)
Calculated total energy   -30.63 eV per cell
Energy above the lowest structure with this stoichiometry   272 meV per atom
Energy of formation from the pure elements   785 meV/atom

[5]
# CsZnReBi

CsZnReBi after structural relaxation (GGA-PBE, Alexandria).

a = 3.737 Å, b = 5.176 Å, c = 7.606 Å
α = 106.36°, β = 90.09°, γ = 111.16°
Sites, in units of the cell vectors:
Zn 0.866 0.623 0.809
Re 0.378 0.648 0.602
Bi 0.084 0.059 0.571
Cs 0.677 0.251 0.150

Size of the total moment   0.00 μB/f.u.
Space group   P1 (1)
Calculated total energy   -15.59 eV per cell
Energy above the lowest structure with this stoichiometry   204 meV per atom
Energy of formation from the pure elements   718 meV/atom

[6]
# CsZnReBi

CsZnReBi after structural relaxation (GGA-PBE, Alexandria).

a = 5.212 Å, b = 4.783 Å, c = 13.373 Å
α = 90.00°, β = 91.28°, γ = 90.00°
Site moments in Bohr magnetons follow the coordinates.
Sites, in units of the cell vectors:
Zn 0.101 0.000 0.848  -0.01
Cs 0.079 0.000 0.571  0.01
Cs 0.079 0.500 0.071  0.01
Zn 0.101 0.500 0.348  -0.01
Bi 0.594 0.000 0.290  -0.03
Re 0.094 0.500 0.795  0.66
Re 0.094 0.000 0.295  0.66
Bi 0.594 0.500 0.790  -0.03

Size of the total moment   0.76 μB/f.u.
Space group   Cm (8)
Calculated total energy   -30.78 eV per cell
Energy above the lowest structure with this stoichiometry   254 meV per atom
Energy of formation from the pure elements   767 meV/atom

[7]
# CsZnReBi

CsZnReBi after structural relaxation (GGA-PBE, Alexandria).

a = 3.418 Å, b = 3.418 Å, c = 8.863 Å
α = 90.00°, β = 90.00°, γ = 90.00°
Sites, in units of the cell vectors:
Bi 0.500 0.500 0.495
Zn 0.500 0.500 0.819
Cs 0.000 0.000 0.133
Re 0.000 0.000 0.684

Size of the total moment   0.00 μB/f.u.
Space group   P4mm (99)
Calculated total energy   -16.40 eV per cell
Energy above the lowest structure with this stoichiometry   0 meV per atom
Energy of formation from the pure elements   513 meV/atom

[8]
# CsZnReBi

CsZnReBi after structural relaxation (GGA-PBE, Alexandria).

a = 4.447 Å, b = 4.447 Å, c = 22.635 Å
α = 90.00°, β = 90.00°, γ = 120.00°
Site moments in Bohr magnetons follow the coordinates.
Sites, in units of the cell vectors:
Bi 0.333 0.667 0.874  -0.03
Bi 0.000 0.000 0.207  -0.03
Zn 0.000 0.000 0.951  -0.01
Re 0.667 0.333 0.923  0.61
Re 0.333 0.667 0.257  0.61
Zn 0.667 0.333 0.284  -0.01
Cs 0.667 0.333 0.733  0.00
Zn 0.333 0.667 0.618  -0.01
Re 0.000 0.000 0.590  0.61
Cs 0.000 0.000 0.400  0.00
Cs 0.333 0.667 0.067  0.00
Bi 0.667 0.333 0.541  -0.03

Size of the total moment   0.68 μB/f.u.
Space group   R3m (160)
Calculated total energy   -47.20 eV per cell
Energy above the lowest structure with this stoichiometry   168 meV per atom
Energy of formation from the pure elements   681 meV/atom

[9]
# CsZnReBi

CsZnReBi after structural relaxation (GGA-PBE, Alexandria).

a = 3.534 Å, b = 3.567 Å, c = 8.996 Å
α = 90.00°, β = 101.08°, γ = 90.00°
Sites, in units of the cell vectors:
Cs 0.759 0.500 0.131
Re 0.556 0.500 0.718
Bi 0.434 0.000 0.481
Zn 0.097 0.000 0.801

Size of the total moment   0.00 μB/f.u.
Space group   Pm (6)
Calculated total energy   -16.05 eV per cell
Energy above the lowest structure with this stoichiometry   89 meV per atom
Energy of formation from the pure elements   602 meV/atom

[10]
# Cs3BiRh

Cs3BiRh after structural relaxation (GGA-PBE, Alexandria).

a = 6.063 Å, b = 6.063 Å, c = 6.063 Å
α = 90.00°, β = 90.00°, γ = 90.00°
Site moments in Bohr magnetons follow the coordinates.
Sites, in units of the cell vectors:
Cs 0.500 0.000 0.000  0.01
Cs 0.000 0.500 0.000  0.01
Bi 0.500 0.500 0.500  0.67
Cs 0.000 0.000 0.500  0.01
Rh 0.000 0.000 0.000  0.07

Size of the total moment   1.31 μB/f.u.
Space group   Pm-3m (221)
Calculated total energy   -11.96 eV per cell
Energy of formation from the pure elements   367 meV/atom

[11]
# CsBi2Rh2

CsBi2Rh2 after structural relaxation (GGA-PBE, Alexandria).

a = 9.116 Å, b = 9.116 Å, c = 3.387 Å
α = 90.00°, β = 90.00°, γ = 90.00°
Sites, in units of the cell vectors:
Rh 0.385 0.115 0.500
Rh 0.615 0.885 0.500
Bi 0.870 0.630 0.000
Bi 0.370 0.870 0.000
Rh 0.885 0.385 0.500
Cs 0.500 0.500 0.000
Bi 0.630 0.130 0.000
Rh 0.115 0.615 0.500
Bi 0.130 0.370 0.000
Cs 0.000 0.000 0.000

Size of the total moment   0.00 μB/f.u.
Space group   P4/mbm (127)
Calculated total energy   -45.21 eV per cell
Energy of formation from the pure elements   142 meV/atom

[12]
# CsBiRh2

CsBiRh2 after structural relaxation (GGA-PBE, Alexandria).

a = 7.905 Å, b = 7.905 Å, c = 6.731 Å
α = 54.04°, β = 54.04°, γ = 90.00°
Sites, in units of the cell vectors:
Cs 0.500 0.500 0.000
Bi 0.000 0.000 0.000
Cs 0.250 0.750 0.500
Rh 0.051 0.625 0.250
Rh 0.875 0.949 0.750
Rh 0.699 0.125 0.250
Bi 0.750 0.250 0.500
Rh 0.375 0.301 0.750

Size of the total moment   0.00 μB/f.u.
Space group   I-42d (122)
Calculated total energy   -34.02 eV per cell
Energy of formation from the pure elements   607 meV/atom

[13]
# CsTl2BiRh

CsTl2BiRh after structural relaxation (GGA-PBE, Alexandria).

a = 5.456 Å, b = 5.456 Å, c = 5.598 Å
α = 90.00°, β = 90.00°, γ = 90.00°
Sites, in units of the cell vectors:
Tl 0.000 0.500 0.000
Cs 0.500 0.500 0.500
Rh 0.000 0.000 0.000
Bi 0.000 0.000 0.500
Tl 0.500 0.000 0.000

Size of the total moment   0.00 μB/f.u.
Space group   P4/mmm (123)
Calculated total energy   -16.93 eV per cell
Energy of formation from the pure elements   -22 meV/atom

[14]
# Cs2ZrBiRh

Cs2ZrBiRh after structural relaxation (GGA-PBE, Alexandria).

a = 7.380 Å, b = 7.380 Å, c = 5.021 Å
α = 90.00°, β = 90.00°, γ = 90.00°
Site moments in Bohr magnetons follow the coordinates.
Sites, in units of the cell vectors:
Rh 0.000 0.000 0.500  -0.06
Zr 0.500 0.500 0.500  1.65
Cs 0.000 0.500 0.000  0.02
Cs 0.500 0.000 0.000  0.02
Bi 0.000 0.000 0.000  -0.03

Size of the total moment   2.73 μB/f.u.
Space group   P4/mmm (123)
Calculated total energy   -15.73 eV per cell
Energy of formation from the pure elements   1151 meV/atom

[15]
# CsBi3Ru

CsBi3Ru after structural relaxation (GGA-PBE, Alexandria).

a = 6.175 Å, b = 6.175 Å, c = 6.175 Å
α = 90.00°, β = 90.00°, γ = 90.00°
Site moments in Bohr magnetons follow the coordinates.
Sites, in units of the cell vectors:
Ru 0.500 0.500 0.500  2.68
Bi 0.000 0.000 0.500  -0.04
Bi 0.000 0.500 0.000  0.01
Cs 0.000 0.000 0.000  0.01
Bi 0.500 0.000 0.000  0.01

Size of the total moment   2.95 μB/f.u.
Space group   Pm-3m (221)
Calculated total energy   -10.39 eV per cell
Energy above the lowest structure with this stoichiometry   1983 meV per atom
Energy of formation from the pure elements   2276 meV/atom

[16]
# CsBi3Ru

CsBi3Ru after structural relaxation (GGA-PBE, Alexandria).

a = 5.518 Å, b = 5.518 Å, c = 5.518 Å
α = 90.00°, β = 90.00°, γ = 90.00°
Sites, in units of the cell vectors:
Bi 0.500 0.000 0.000
Cs 0.500 0.500 0.500
Bi 0.000 0.500 0.000
Ru 0.000 0.000 0.000
Bi 0.000 0.000 0.500

Size of the total moment   0.00 μB/f.u.
Space group   Pm-3m (221)
Calculated total energy   -20.31 eV per cell
Energy above the lowest structure with this stoichiometry   0 meV per atom
Energy of formation from the pure elements   293 meV/atom

[17]
# CsBiRu

CsBiRu after structural relaxation (GGA-PBE, Alexandria).

a = 4.646 Å, b = 4.646 Å, c = 9.532 Å
α = 90.00°, β = 90.00°, γ = 90.00°
Sites, in units of the cell vectors:
Bi 0.000 0.500 0.353
Ru 0.000 0.000 0.500
Ru 0.500 0.500 0.500
Cs 0.000 0.500 0.829
Bi 0.500 0.000 0.647
Cs 0.500 0.000 0.171

Size of the total moment   0.00 μB/f.u.
Space group   P4/nmm (129)
Calculated total energy   -27.51 eV per cell
Energy of formation from the pure elements   86 meV/atom

[18]
# CsBi2TeRu

CsBi2TeRu after structural relaxation (GGA-PBE, Alexandria).

a = 5.292 Å, b = 6.036 Å, c = 5.292 Å
α = 90.00°, β = 90.00°, γ = 90.00°
Sites, in units of the cell vectors:
Ru 0.000 0.000 0.000
Bi 0.000 0.000 0.500
Cs 0.000 0.500 0.000
Bi 0.500 0.000 0.000
Te 0.500 0.500 0.500

Size of the total moment   0.00 μB/f.u.
Space group   P4/mmm (123)
Calculated total energy   -19.72 eV per cell
Raw formation energy   0.2619 eV/atom

[19]
# CsBi5S8

CsBi5S8 after structural relaxation (GGA-PBE, Alexandria).

a = 4.088 Å, b = 10.177 Å, c = 10.702 Å
α = 104.28°, β = 101.01°, γ = 90.00°
Sites, in units of the cell vectors:
Bi 0.344 0.042 0.688
S 0.168 0.488 0.336
Bi 0.295 0.661 0.590
S 0.081 0.812 0.162
Cs 0.500 0.500 0.000
S 0.422 0.850 0.844
S 0.578 0.150 0.156
S 0.231 0.150 0.462
S 0.832 0.512 0.664
Bi 0.656 0.958 0.312
Bi 0.705 0.339 0.410
S 0.919 0.188 0.838
Bi 0.000 0.000 0.000
S 0.769 0.850 0.538

Size of the total moment   0.00 μB/f.u.
Space group   C2/m (12)
Calculated total energy   -60.12 eV per cell
Raw formation energy   -0.4884 eV/atom

[20]
# Cs3BiS

Cs3BiS after structural relaxation (GGA-PBE, Alexandria).

a = 6.719 Å, b = 6.719 Å, c = 6.719 Å
α = 90.00°, β = 90.00°, γ = 90.00°
Site moments in Bohr magnetons follow the coordinates.
Sites, in units of the cell vectors:
Cs 0.000 0.500 0.000  0.01
Cs 0.500 0.000 0.000  0.01
Cs 0.000 0.000 0.500  0.01
Bi 0.500 0.500 0.500  0.98
S 0.000 0.000 0.000  0.08

Size of the total moment   2.00 μB/f.u.
Space group   Pm-3m (221)
Calculated total energy   -12.71 eV per cell
Raw formation energy   -0.4282 eV/atom